No. 1
Density functional theory data (PBE) for PrSm6Dy3 after structural relaxation.

```
PrSm6Dy3
1.0
6.470 0.000 0.000
0.000 10.196 -5.805
0.000 -2.273 11.510
Sm Dy Pr
12 6 2
direct
0.300 0.699 0.301 Sm
0.331 0.108 0.544 Sm
0.576 0.620 0.738 Sm
0.297 0.986 0.014 Sm
0.831 0.544 0.108 Sm
0.797 0.014 0.986 Sm
0.076 0.738 0.620 Sm
0.331 0.456 0.892 Sm
0.076 0.380 0.262 Sm
0.800 0.301 0.699 Sm
0.576 0.262 0.380 Sm
0.831 0.892 0.456 Sm
0.484 0.958 0.704 Dy
0.984 0.042 0.296 Dy
0.598 0.581 0.419 Dy
0.984 0.704 0.958 Dy
0.098 0.419 0.581 Dy
0.484 0.296 0.042 Dy
0.007 0.158 0.842 Pr
0.507 0.842 0.158 Pr
```

Output
Symmetry: Cmc2_1 (36)
E_form: 0.1254 eV/atom
Magnetization: 0.00 μB/cell

No. 2
Density functional theory data (PBE) for PrSm6Dy2 after structural relaxation.

```
PrSm6Dy2
1.0
3.603 0.320 0.237
-0.146 6.174 -6.355
0.922 0.707 12.966
Dy Sm Pr
2 6 1
direct
0.556 0.224 0.889 Dy
0.444 0.776 0.111 Dy
0.778 0.108 0.443 Sm
0.667 0.665 0.666 Sm
0.333 0.335 0.334 Sm
0.110 0.444 0.779 Sm
0.222 0.892 0.557 Sm
0.890 0.556 0.221 Sm
0.000 0.000 0.000 Pr
```

Output
Symmetry: P-1 (2)
E_form: 0.0159 eV/atom
Magnetization: 0.00 μB/cell

No. 3
Density functional theory data (PBE) for Pr5Sm12Dy2 after structural relaxation.

```
Pr5Sm12Dy2
1.0
9.279 0.000 0.000
-4.640 8.347 3.552
0.000 0.520 8.799
Pr Sm Dy
5 12 2
direct
0.759 0.517 0.295 Pr
0.709 0.417 0.780 Pr
0.000 0.000 0.500 Pr
0.241 0.483 0.705 Pr
0.291 0.583 0.220 Pr
0.049 0.098 0.817 Sm
0.600 0.744 0.457 Sm
0.332 0.293 0.094 Sm
0.440 0.881 0.718 Sm
0.144 0.744 0.457 Sm
0.039 0.707 0.906 Sm
0.961 0.293 0.094 Sm
0.400 0.256 0.543 Sm
0.856 0.256 0.543 Sm
0.668 0.707 0.906 Sm
0.951 0.902 0.183 Sm
0.560 0.119 0.282 Sm
0.327 0.000 0.000 Dy
0.673 0.000 0.000 Dy
```

Output
Symmetry: C2/m (12)
E_form: 0.2002 eV/atom
Magnetization: 0.00 μB/cell

No. 4
Density functional theory data (PBE) for Pr5Sm4Dy2 after structural relaxation.

```
Pr5Sm4Dy2
1.0
3.529 0.000 -0.666
-0.205 11.760 -1.086
-0.095 0.219 9.173
Dy Pr Sm
2 5 4
direct
0.716 0.357 0.432 Dy
0.284 0.643 0.568 Dy
0.178 0.074 0.355 Pr
0.822 0.926 0.645 Pr
0.903 0.462 0.807 Pr
0.097 0.538 0.193 Pr
0.500 0.000 0.000 Pr
0.963 0.738 0.925 Sm
0.359 0.204 0.718 Sm
0.037 0.262 0.075 Sm
0.641 0.796 0.282 Sm
```

Output
Symmetry: C2/m (12)
E_form: 0.0747 eV/atom
Magnetization: 0.00 μB/cell

No. 5
Density functional theory data (PBE) for Pr5Sm4Dy3 after structural relaxation.

```
Pr5Sm4Dy3
1.0
-4.691 -3.002 -0.039
0.204 -5.441 -3.377
2.622 -9.384 9.291
Sm Pr Dy
4 5 3
direct
0.909 0.053 0.130 Sm
0.231 0.933 0.605 Sm
0.769 0.067 0.395 Sm
0.091 0.947 0.870 Sm
0.500 0.500 0.500 Pr
0.638 0.688 0.036 Pr
0.168 0.428 0.236 Pr
0.362 0.312 0.964 Pr
0.832 0.572 0.764 Pr
0.000 0.500 0.500 Dy
0.454 0.808 0.283 Dy
0.546 0.192 0.717 Dy
```

Output
Symmetry: C2/m (12)
E_form: 0.2077 eV/atom
Magnetization: 0.20 μB/cell

No. 6
Density functional theory data (PBE) for Pr5Sm3Dy after structural relaxation.

```
Pr5Sm3Dy
1.0
6.349 0.000 0.000
-3.174 9.668 -4.539
0.000 -2.222 11.612
Pr Sm Dy
10 6 2
direct
0.634 0.642 0.975 Pr
0.009 0.642 0.475 Pr
0.581 0.000 0.250 Pr
0.419 0.000 0.750 Pr
0.461 0.278 0.622 Pr
0.991 0.358 0.525 Pr
0.539 0.722 0.378 Pr
0.817 0.278 0.122 Pr
0.183 0.722 0.878 Pr
0.366 0.358 0.025 Pr
0.403 0.352 0.327 Sm
0.050 0.648 0.173 Sm
0.597 0.648 0.673 Sm
0.950 0.352 0.827 Sm
0.000 0.000 0.500 Sm
0.000 0.000 0.000 Sm
0.094 0.000 0.250 Dy
0.906 0.000 0.750 Dy
```

Output
Symmetry: C2/c (15)
E_form: 0.2555 eV/atom
Magnetization: 0.00 μB/cell

No. 7
Density functional theory data (PBE) for Pr2Sm4Dy3 after structural relaxation.

```
Pr2Sm4Dy3
1.0
3.441 0.000 -0.891
-0.370 8.619 -1.430
0.778 0.110 10.094
Sm Dy Pr
4 3 2
direct
0.452 0.316 0.903 Sm
0.720 0.648 0.440 Sm
0.280 0.352 0.560 Sm
0.548 0.684 0.097 Sm
0.000 0.000 0.000 Dy
0.894 0.638 0.788 Dy
0.106 0.362 0.212 Dy
0.333 0.957 0.666 Pr
0.667 0.043 0.334 Pr
```

Output
Symmetry: C2/m (12)
E_form: 0.0785 eV/atom
Magnetization: 0.00 μB/cell

No. 8
Density functional theory data (PBE) for Pr5SmDy3 after structural relaxation.

```
Pr5SmDy3
1.0
-3.779 3.925 3.198
-6.446 -5.289 -7.366
3.694 -4.671 10.096
Pr Dy Sm
10 6 2
direct
0.365 0.359 0.025 Pr
0.461 0.281 0.623 Pr
0.595 0.000 0.250 Pr
0.180 0.719 0.877 Pr
0.539 0.719 0.377 Pr
0.405 0.000 0.750 Pr
0.635 0.641 0.975 Pr
0.994 0.359 0.525 Pr
0.820 0.281 0.123 Pr
0.006 0.641 0.475 Pr
0.000 0.000 0.000 Dy
0.951 0.352 0.825 Dy
0.401 0.352 0.325 Dy
0.000 0.000 0.500 Dy
0.599 0.648 0.675 Dy
0.049 0.648 0.175 Dy
0.889 0.000 0.750 Sm
0.111 0.000 0.250 Sm
```

Output
Symmetry: C2/c (15)
E_form: 0.2682 eV/atom
Magnetization: 0.00 μB/cell